No. 1
NdEuNiRh PBE optimized geometry; ΔH_f (0 K) = -0.318 eV/atom
1.0
4.972 0.000 0.000
2.486 4.306 0.000
2.486 1.435 4.060
Nd Ni Eu Rh
1 1 1 1
direct
0.500 0.500 0.500
0.250 0.250 0.250
0.000 0.000 0.000
0.750 0.750 0.750

=====

No. 2
PbCF2 PBE optimized geometry; uncorrected formation energy = 0.333 eV per atom; energy relative to the lowest polymorph listed for this composition = 0.256 eV per atom
1.0
-6.188 4.529 0.998
-4.226 5.533 3.367
-3.863 6.689 0.366
F C Pb
2 1 1
direct
0.081 0.081 0.081
0.919 0.919 0.919
0.000 0.000 0.000
0.500 0.500 0.500

=====

No. 3
Ca2InHgMo PBE optimized geometry; ΔH_f (0 K) = 0.571 eV/atom
1.0
-3.517 -4.163 0.240
0.772 -0.349 5.258
-4.094 3.508 0.834
Mo Hg Ca In
1 1 2 1
direct
0.000 0.000 0.000
0.500 0.500 0.500
0.000 0.000 0.500
0.500 0.000 0.000
0.000 0.500 0.000

=====

No. 4
Pr2TlSb3Pd4 PBE optimized geometry; uncorrected formation energy = -0.759 eV per atom
1.0
4.514 0.000 0.000
0.000 4.514 0.000
0.000 0.000 11.307
Pd Pr Sb Tl
4 2 3 1
direct
0.500 0.000 0.642
0.500 0.500 0.000
0.000 0.500 0.358
0.000 0.000 0.000
0.500 0.000 0.233
0.000 0.500 0.767
0.000 0.000 0.500
0.000 0.500 0.130
0.500 0.000 0.870
0.500 0.500 0.500

=====

No. 5
Ac12In3Co5 PBE optimized geometry; ΔH_f (0 K) = 0.031 eV/atom
1.0
-4.287 14.485 -3.854
-3.616 -9.753 -11.612
-7.480 -4.357 12.965
Co Ac In
20 48 12
direct
0.625 0.750 0.875
0.000 0.000 0.500
0.750 0.625 0.375
0.875 0.250 0.625
0.125 0.375 0.250
0.000 0.000 0.000
0.125 0.750 0.375
0.500 0.500 0.500
0.000 0.500 0.500
0.000 0.500 0.000
0.375 0.125 0.750
0.750 0.125 0.875
0.250 0.875 0.125
0.375 0.250 0.125
0.500 0.000 0.000
0.875 0.625 0.750
0.625 0.875 0.250
0.500 0.000 0.500
0.500 0.500 0.000
0.250 0.375 0.625
0.405 0.382 0.585
0.180 0.095 0.977
0.320 0.797 0.415
0.320 0.523 0.405
0.085 0.180 0.203
0.382 0.405 0.085
0.703 0.585 0.180
0.180 0.085 0.703
0.595 0.618 0.415
0.915 0.820 0.797
0.405 0.023 0.320
0.477 0.680 0.095
0.905 0.820 0.523
0.523 0.203 0.118
0.820 0.905 0.023
0.118 0.703 0.523
0.203 0.523 0.618
0.297 0.415 0.820
0.915 0.095 0.618
0.203 0.680 0.085
0.297 0.882 0.977
0.797 0.320 0.915
0.905 0.085 0.882
0.118 0.415 0.095
0.882 0.585 0.905
0.382 0.977 0.797
0.797 0.477 0.382
0.680 0.477 0.595
0.415 0.297 0.320
0.680 0.203 0.585
0.595 0.977 0.680
0.820 0.915 0.297
0.415 0.118 0.595
0.618 0.023 0.203
0.703 0.118 0.023
0.095 0.180 0.477
0.585 0.882 0.405
0.585 0.703 0.680
0.977 0.382 0.297
0.523 0.320 0.905
0.882 0.297 0.477
0.618 0.595 0.915
0.095 0.915 0.118
0.477 0.797 0.882
0.023 0.405 0.820
0.023 0.618 0.703
0.977 0.595 0.180
0.085 0.905 0.382
0.250 0.125 0.375
0.625 0.250 0.375
0.125 0.875 0.750
0.375 0.750 0.625
0.125 0.250 0.875
0.250 0.625 0.875
0.375 0.625 0.250
0.875 0.125 0.250
0.875 0.750 0.125
0.625 0.375 0.750
0.750 0.875 0.625
0.750 0.375 0.125

=====

No. 6
Zn3Ni12Os PBE optimized geometry; ΔH_f (0 K) = -0.065 eV/atom
1.0
-2.448 1.980 -1.706
-2.610 -1.978 1.449
-0.564 8.963 11.215
Ni Zn Os
12 3 1
direct
0.500 0.000 0.876
0.500 0.000 0.375
0.500 0.000 0.124
0.000 0.500 0.876
0.500 0.500 0.250
0.500 0.500 0.000
0.000 0.500 0.625
0.500 0.500 0.750
0.500 0.500 0.500
0.000 0.500 0.375
0.000 0.500 0.124
0.500 0.000 0.625
0.000 0.000 0.252
0.000 0.000 0.500
0.000 0.000 0.748
0.000 0.000 0.000

=====

Volume for the records above, in order: 87, 68, 158, 230, 2917, 184 Å³/cell
DFT total energy for the records above, in order: -7.3613, -3.8358, -3.0039, -5.2650, -4.6212, -5.3413 eV/atom